## MgAgHgAu (PBE)

Data for crystalline MgAgHgAu at its relaxed geometry.

abc: 4.763 4.763 4.763
angles: 60.00 60.00 60.00
Fractional coordinates of all 4 atoms:
Mg (0.000, 0.000, 0.000)
Ag (0.500, 0.500, 0.500)
Hg (0.250, 0.250, 0.250)
Au (0.750, 0.750, 0.750)

Energy of formation from the pure elements   -0.204 eV/atom
Energy   -2.21 eV/atom
Symmetry   F-43m, No. 216
Spin magnetization   0.00 μB per atom